# 1
## SrPrCdGe (GGA-PBE)

Data for SrPrCdGe after structural relaxation.

Values from the calculation:
* formation enthalpy at 0 K: -1.62 eV/f.u.
* calculated density: 6.00 Mg/m³
* V: 28.613 Å³/atom
* SG: F-43m (216)
* calculated total energy: -3.40 eV/atom

a b c (Å): 5.4498 5.4498 5.4498
angles (deg): 60.00 60.00 60.00
With the nearest neighbours (Å) after each atom.
Sites, in units of the cell vectors:
1 Sr 0.0000 0.0000 0.0000  4 Ge 3.34, 4 Cd 3.34
2 Pr 0.5000 0.5000 0.5000  4 Cd 3.34, 4 Ge 3.34
3 Cd 0.7500 0.7500 0.7500  4 Pr 3.34, 4 Sr 3.34
4 Ge 0.2500 0.2500 0.2500  4 Pr 3.34, 4 Sr 3.34

=====

# 2
## PrTmCdGe (GGA-PBE)

Data for PrTmCdGe after structural relaxation.

Values from the calculation:
* formation enthalpy at 0 K: -1.80 eV/f.u.
* calculated density: 8.17 Mg/m³
* V: 25.143 Å³/atom
* SG: F-43m (216)
* calculated total energy: -4.15 eV/atom

a b c (Å): 5.2199 5.2199 5.2199
angles (deg): 60.00 60.00 60.00
With the nearest neighbours (Å) after each atom.
Sites, in units of the cell vectors:
1 Pr 0.0000 0.0000 0.0000  4 Cd 3.20, 4 Ge 3.20
2 Tm 0.5000 0.5000 0.5000  4 Cd 3.20, 4 Ge 3.20
3 Cd 0.7500 0.7500 0.7500  4 Tm 3.20, 4 Pr 3.20
4 Ge 0.2500 0.2500 0.2500  4 Pr 3.20, 4 Tm 3.20

=====

# 3
## PrYCdGe (GGA-PBE)

Data for PrYCdGe after structural relaxation.

Values from the calculation:
* formation enthalpy at 0 K: -1.95 eV/f.u.
* calculated density: 6.72 Mg/m³
* V: 25.636 Å³/atom
* SG: F-43m (216)
* calculated total energy: -4.68 eV/atom

a b c (Å): 5.2538 5.2538 5.2538
angles (deg): 60.00 60.00 60.00
With the nearest neighbours (Å) after each atom.
Sites, in units of the cell vectors:
1 Pr 0.0000 0.0000 0.0000  4 Ge 3.22, 4 Cd 3.22
2 Y 0.5000 0.5000 0.5000  4 Ge 3.22, 4 Cd 3.22
3 Cd 0.2500 0.2500 0.2500  4 Pr 3.22, 4 Y 3.22
4 Ge 0.7500 0.7500 0.7500  4 Y 3.22, 4 Pr 3.22

=====

# 4
## Pr2Zn4CdGe3 (GGA-PBE)

Data for Pr2Zn4CdGe3 after structural relaxation.

Values from the calculation:
* formation enthalpy at 0 K: -3.92 eV/f.u.
* calculated density: 7.17 Mg/m³
* V: 20.228 Å³/atom
* SG: P-4m2 (115)
* calculated total energy: -3.33 eV/atom

a b c (Å): 4.3247 4.3247 10.8150
angles (deg): 90.00 90.00 90.00
With the nearest neighbours (Å) after each atom.
Sites, in units of the cell vectors:
1 Pr 0.0000 0.5000 0.2453  6 Ge 3.29-3.50, 8 Zn 3.30-3.42, 2 Cd 3.50
2 Pr 0.5000 0.0000 0.7547  6 Ge 3.29-3.50, 8 Zn 3.30-3.42, 2 Cd 3.50
3 Zn 0.0000 0.0000 0.0000  4 Ge 2.60
4 Zn 0.0000 0.5000 0.6403  3 Ge 2.44-2.64, 2 Cd 2.64
5 Zn 0.5000 0.0000 0.3597  3 Ge 2.44-2.64, 2 Cd 2.64
6 Zn 0.5000 0.5000 0.0000  4 Ge 2.60
7 Cd 0.0000 0.0000 0.5000  4 Zn 2.64
8 Ge 0.0000 0.5000 0.8664  5 Zn 2.44-2.60
9 Ge 0.5000 0.0000 0.1336  5 Zn 2.44-2.60
10 Ge 0.5000 0.5000 0.5000  4 Zn 2.64

=====

# 5
## CdGe2Pt2 (GGA-PBE)

Data for CdGe2Pt2 after structural relaxation.

Values from the calculation:
* formation enthalpy at 0 K: -0.94 eV/f.u.
* calculated density: 11.93 Mg/m³
* V: 18.031 Å³/atom
* SG: P4/mbm (127)
* E above lowest polymorph: 126.8 meV/atom
* calculated total energy: -4.63 eV/atom

a b c (Å): 7.4904 7.4904 3.2136
angles (deg): 90.00 90.00 90.00
With the nearest neighbours (Å) after each atom.
Sites, in units of the cell vectors:
1 Cd 0.0000 0.0000 0.0000  4 Pt 2.89, 2 Cd 3.21
2 Cd 0.5000 0.5000 0.0000  4 Pt 2.89, 2 Cd 3.21
3 Ge 0.1528 0.3472 0.5000  6 Pt 2.71-2.73
4 Ge 0.3472 0.8472 0.5000  6 Pt 2.71-2.73
5 Ge 0.6528 0.1528 0.5000  6 Pt 2.71-2.73
6 Ge 0.8472 0.6528 0.5000  6 Pt 2.71-2.73
7 Pt 0.1416 0.6416 0.0000  6 Ge 2.71-2.73, 2 Cd 2.89, 1 Pt 3.00
8 Pt 0.3584 0.1416 0.0000  6 Ge 2.71-2.73, 2 Cd 2.89, 1 Pt 3.00
9 Pt 0.6416 0.8584 0.0000  6 Ge 2.71-2.73, 2 Cd 2.89, 1 Pt 3.00
10 Pt 0.8584 0.3584 0.0000  6 Ge 2.71-2.73, 2 Cd 2.89, 1 Pt 3.00

=====

# 6
## CdGePt4 (GGA-PBE)

Data for CdGePt4 after structural relaxation.

Values from the calculation:
* formation enthalpy at 0 K: -1.16 eV/f.u.
* calculated density: 15.61 Mg/m³
* V: 17.114 Å³/atom
* SG: P-1 (2)
* calculated total energy: -5.14 eV/atom

a b c (Å): 5.2268 5.4443 7.7495
angles (deg): 69.49 84.24 89.92
With the nearest neighbours (Å) after each atom.
Sites, in units of the cell vectors:
1 Cd 0.2498 0.1013 0.0001  8 Pt 2.78-3.02, 2 Cd 2.84
2 Cd 0.7502 0.8987 0.9999  8 Pt 2.78-3.02, 2 Cd 2.84
3 Ge 0.0000 0.5000 0.5000  6 Pt 2.41-2.58
4 Ge 0.5000 0.0000 0.5000  6 Pt 2.42-2.57
5 Pt 0.0561 0.0391 0.6634  2 Ge 2.41-2.57
6 Pt 0.0832 0.5030 0.1713  1 Ge 2.53, 4 Pt 2.79-2.84, 1 Cd 2.81
7 Pt 0.4162 0.6752 0.8294  1 Ge 2.54, 4 Pt 2.79-2.84, 1 Cd 2.81
8 Pt 0.4446 0.7017 0.3366  2 Ge 2.42-2.58
9 Pt 0.5554 0.2983 0.6634  2 Ge 2.42-2.58
10 Pt 0.5838 0.3248 0.1706  1 Ge 2.54, 4 Pt 2.79-2.84, 1 Cd 2.81
11 Pt 0.9168 0.4970 0.8287  1 Ge 2.53, 4 Pt 2.79-2.84, 1 Cd 2.81
12 Pt 0.9439 0.9609 0.3366  2 Ge 2.41-2.57

=====

# 7
## Cd3Ge2Pt4 (GGA-PBE)

Data for Cd3Ge2Pt4 after structural relaxation.

Values from the calculation:
* formation enthalpy at 0 K: -3.13 eV/f.u.
* calculated density: 12.52 Mg/m³
* V: 18.616 Å³/atom
* SG: C2/m (12)
* calculated total energy: -4.36 eV/atom

a b c (Å): 6.7371 6.7371 9.1426
angles (deg): 114.33 114.33 26.46
With the nearest neighbours (Å) after each atom.
Sites, in units of the cell vectors:
1 Cd 0.0000 0.0000 0.0000  4 Pt 2.81, 2 Cd 3.08
2 Cd 0.3971 0.3971 0.2604  7 Pt 2.83-2.93, 2 Cd 3.08
3 Cd 0.6029 0.6029 0.7396  7 Pt 2.83-2.93, 2 Cd 3.08
4 Ge 0.3087 0.3087 0.6526  4 Pt 2.46-2.61
5 Ge 0.6913 0.6913 0.3474  4 Pt 2.46-2.61
6 Pt 0.0942 0.0942 0.4626  3 Ge 2.50-2.61
7 Pt 0.3041 0.3041 0.9187  1 Ge 2.46
8 Pt 0.6959 0.6959 0.0813  1 Ge 2.46
9 Pt 0.9058 0.9058 0.5374  3 Ge 2.50-2.61

=====

# 8
## CdGe2Pt (GGA-PBE)

Data for CdGe2Pt after structural relaxation.

Values from the calculation:
* formation enthalpy at 0 K: -0.79 eV/f.u.
* calculated density: 8.99 Mg/m³
* V: 20.915 Å³/atom
* SG: P-3m1 (164)
* calculated total energy: -4.25 eV/atom

a b c (Å): 4.1496 4.1496 5.6100
angles (deg): 90.00 90.00 120.00
With the nearest neighbours (Å) after each atom.
Sites, in units of the cell vectors:
1 Cd 0.0000 0.0000 0.0000  2 Pt 2.81, 6 Ge 3.01
2 Ge 0.3333 0.6667 0.6742  3 Pt 2.59
3 Ge 0.6667 0.3333 0.3258  3 Pt 2.59
4 Pt 0.0000 0.0000 0.5000  6 Ge 2.59, 2 Cd 2.81

=====

# 9
## CdGePt6 (GGA-PBE)

Data for CdGePt6 after structural relaxation.

Values from the calculation:
* formation enthalpy at 0 K: -1.93 eV/f.u.
* calculated density: 17.54 Mg/m³
* V: 16.040 Å³/atom
* SG: P4/mmm (123)
* calculated total energy: -5.46 eV/atom

a b c (Å): 4.0113 4.0113 7.9747
angles (deg): 90.00 90.00 90.00
With the nearest neighbours (Å) after each atom.
Sites, in units of the cell vectors:
1 Cd 0.0000 0.0000 0.0000  12 Pt 2.84-2.88
2 Ge 0.0000 0.0000 0.5000  12 Pt 2.78-2.84
3 Pt 0.0000 0.5000 0.2593  2 Ge 2.78, 8 Pt 2.78-2.88, 2 Cd 2.88
4 Pt 0.0000 0.5000 0.7407  2 Ge 2.78, 8 Pt 2.78-2.88, 2 Cd 2.88
5 Pt 0.5000 0.0000 0.2593  2 Ge 2.78, 8 Pt 2.78-2.88, 2 Cd 2.88
6 Pt 0.5000 0.0000 0.7407  2 Ge 2.78, 8 Pt 2.78-2.88, 2 Cd 2.88
7 Pt 0.5000 0.5000 0.0000  4 Cd 2.84, 8 Pt 2.88
8 Pt 0.5000 0.5000 0.5000  8 Pt 2.78, 4 Ge 2.84

=====

# 10
## CdGePt2 (GGA-PBE)

Data for CdGePt2 after structural relaxation.

Values from the calculation:
* formation enthalpy at 0 K: -0.69 eV/f.u.
* calculated density: 13.03 Mg/m³
* V: 18.333 Å³/atom
* SG: I-42d (122)
* E above lowest polymorph: 232.2 meV/atom
* calculated total energy: -4.58 eV/atom

a b c (Å): 5.8268 5.8268 5.8268
angles (deg): 103.56 103.56 122.08
With the nearest neighbours (Å) after each atom.
Sites, in units of the cell vectors:
1 Cd 0.0000 0.0000 0.0000  2 Ge 2.82, 8 Pt 2.87-3.15
2 Cd 0.7500 0.2500 0.5000  2 Ge 2.82, 8 Pt 2.87-3.15
3 Ge 0.2500 0.7500 0.5000  4 Pt 2.44
4 Ge 0.5000 0.5000 0.0000  4 Pt 2.44
5 Pt 0.1685 0.6250 0.0435  2 Ge 2.44
6 Pt 0.3750 0.4185 0.5435  2 Ge 2.44
7 Pt 0.5815 0.1250 0.9565  2 Ge 2.44
8 Pt 0.8750 0.8315 0.4565  2 Ge 2.44

=====

# 11
## CdGe2Pt9 (GGA-PBE)

Data for CdGe2Pt9 after structural relaxation.

Values from the calculation:
* formation enthalpy at 0 K: -3.10 eV/f.u.
* calculated density: 17.53 Mg/m³
* V: 15.898 Å³/atom
* SG: P4/mmm (123)
* calculated total energy: -5.63 eV/atom

a b c (Å): 3.9929 3.9929 11.9659
angles (deg): 90.00 90.00 90.00
With the nearest neighbours (Å) after each atom.
Sites, in units of the cell vectors:
1 Cd 0.0000 0.0000 0.0000  12 Pt 2.82-2.88
2 Ge 0.0000 0.0000 0.3262  12 Pt 2.70-2.88
3 Ge 0.0000 0.0000 0.6738  12 Pt 2.70-2.88
4 Pt 0.0000 0.5000 0.1739  2 Ge 2.70, 8 Pt 2.81-2.88, 2 Cd 2.88
5 Pt 0.0000 0.5000 0.5000  8 Pt 2.78-2.82, 4 Ge 2.88
6 Pt 0.0000 0.5000 0.8261  2 Ge 2.70, 8 Pt 2.81-2.88, 2 Cd 2.88
7 Pt 0.5000 0.0000 0.1739  2 Ge 2.70, 8 Pt 2.81-2.88, 2 Cd 2.88
8 Pt 0.5000 0.0000 0.5000  8 Pt 2.78-2.82, 4 Ge 2.88
9 Pt 0.5000 0.0000 0.8261  2 Ge 2.70, 8 Pt 2.81-2.88, 2 Cd 2.88
10 Pt 0.5000 0.5000 0.0000  4 Cd 2.82, 8 Pt 2.88
11 Pt 0.5000 0.5000 0.3388  8 Pt 2.78-2.81, 4 Ge 2.83
12 Pt 0.5000 0.5000 0.6612  8 Pt 2.78-2.81, 4 Ge 2.83

=====

# 12
## CdGe2Pt (GGA-PBE)

Data for CdGe2Pt after structural relaxation.

Values from the calculation:
* formation enthalpy at 0 K: -0.42 eV/f.u.
* calculated density: 9.01 Mg/m³
* V: 20.854 Å³/atom
* SG: P1 (1)
* calculated total energy: -4.15 eV/atom

a b c (Å): 3.2323 4.5536 6.3949
angles (deg): 103.84 99.01 109.20
With the nearest neighbours (Å) after each atom.
Sites, in units of the cell vectors:
1 Cd 0.0000 0.0000 0.0000  3 Ge 2.75-3.06, 2 Pt 2.96-3.01
2 Ge 0.6009 0.3224 0.6488  3 Pt 2.47-2.52
3 Ge 0.6038 0.6171 0.2541  2 Pt 2.57, 2 Cd 2.75-2.80
4 Pt 0.2588 0.7266 0.5856  5 Ge 2.47-2.57

=====

> Which value of formation enthalpy at 0 K does entry 4 give?

-3.92 eV/f.u.

=====

What did the second record say?
## PrTmCdGe (GGA-PBE)

Data for PrTmCdGe after structural relaxation.

Values from the calculation:
* formation enthalpy at 0 K: -1.80 eV/f.u.
* calculated density: 8.17 Mg/m³
* V: 25.143 Å³/atom
* SG: F-43m (216)
* calculated total energy: -4.15 eV/atom

a b c (Å): 5.2199 5.2199 5.2199
angles (deg): 60.00 60.00 60.00
With the nearest neighbours (Å) after each atom.
Sites, in units of the cell vectors:
1 Pr 0.0000 0.0000 0.0000  4 Cd 3.20, 4 Ge 3.20
2 Tm 0.5000 0.5000 0.5000  4 Cd 3.20, 4 Ge 3.20
3 Cd 0.7500 0.7500 0.7500  4 Tm 3.20, 4 Pr 3.20
4 Ge 0.2500 0.2500 0.2500  4 Pr 3.20, 4 Tm 3.20

=====

> Which of these has the highest calculated density?

CdGePt6

=====

> Which formula does entry 6 have?

CdGePt4